(1)
Y2FeAu | PBEsol | optimized geometry

Cell: 3.8852 4.2639 5.5876 Å, 90.00 110.34 90.00°
Closest atoms and distances in Å follow each position.
Positions (direct):
Y: 0.1063 0.0000 0.2126  3 Au 2.98, 4 Fe 2.98
Fe: 0.6777 0.5000 0.3554  2 Au 2.62
Y: 0.3971 0.5000 0.7942  3 Fe 2.94-3.01, 4 Au 2.99
Au: 0.8223 0.0000 0.6445  2 Fe 2.62

Calculated values
M_tot ... 1.4 μB per cell
V ... 21.70 Å³/atom
E_form ... -0.321 eV per atom
Electronic total energy ... -27.818 eV for the cell shown

(2)
LiMnVO4 | PBEsol | optimized geometry

Cell: 5.7593 5.7800 5.6940 Å, 119.51 90.00 119.88°
Closest atoms and distances in Å follow each position.
Positions (direct):
O: 0.7867 0.0341 0.2671  1 Mn 1.92, 1 Li 1.93, 2 V 1.95
Li: 0.6228 0.2456 0.8728  4 O 1.93-1.94
V: 0.0000 0.0000 0.0000  6 O 1.95
O: 0.2355 0.4710 0.2581  2 Mn 1.94, 1 Li 1.94, 1 V 1.95
Li: 0.3772 0.7544 0.1272  4 O 1.93-1.94
Mn: 0.0000 0.5000 0.5000  6 O 1.92-1.94
O: 0.7645 0.5290 0.2871  2 Mn 1.94, 1 Li 1.94, 1 V 1.95
V: 0.0000 0.0000 0.5000  6 O 1.95
O: 0.2474 0.0341 0.2671  1 Mn 1.92, 1 Li 1.93, 2 V 1.95
O: 0.2355 0.4710 0.7129  2 Mn 1.94, 1 Li 1.94, 1 V 1.95
O: 0.2133 0.9659 0.7329  1 Mn 1.92, 1 Li 1.93, 2 V 1.95
O: 0.7526 0.9659 0.7329  1 Mn 1.92, 1 Li 1.93, 2 V 1.95
O: 0.7645 0.5290 0.7419  2 Mn 1.94, 1 Li 1.94, 1 V 1.95
Mn: 0.5000 0.5000 0.5000  6 O 1.92-1.94

Calculated values
Raw formation energy ... -2082 meV/atom
M_tot ... 8.0 μB per cell
Energy relative to the lowest polymorph listed for this composition ... 1.1 kJ per mole of atoms
V ... 9.66 Å³/atom
Electronic total energy ... -113.871 eV for the cell shown

(3)
CoCl | PBEsol | optimized geometry

Cell: 2.9034 2.9034 7.3911 Å, 90.00 90.00 90.00°
Closest atoms and distances in Å follow each position.
Positions (direct):
Cl: 0.0000 0.5000 0.2120  4 Co 2.46
Cl: 0.5000 0.0000 0.7880  4 Co 2.46
Co: 0.0000 0.5000 0.6056  4 Cl 2.46, 4 Co 2.58
Co: 0.5000 0.0000 0.3944  4 Cl 2.46, 4 Co 2.58

Calculated values
Raw formation energy ... 104 meV/atom
M_tot ... 4.2 μB per cell
V ... 15.58 Å³/atom
Electronic total energy ... -19.074 eV for the cell shown

(4)
Cd2HgAu | PBEsol | optimized geometry

Cell: 3.7179 3.7179 5.7793 Å, 90.00 90.00 90.00°
Closest atoms and distances in Å follow each position.
Positions (direct):
Hg: 0.0000 0.0000 0.4952  6 Cd 2.83-2.97, 4 Au 3.06
Cd: 0.0000 0.0000 0.9846  2 Hg 2.83-2.95, 4 Au 2.92, 4 Cd 3.06
Cd: 0.5000 0.5000 0.2557  2 Au 2.84-2.94, 4 Hg 2.97, 4 Cd 3.06
Au: 0.5000 0.5000 0.7646  6 Cd 2.84-2.94, 4 Hg 3.06

Calculated values
M_tot ... 0.0 μB per cell
Energy relative to the lowest polymorph listed for this composition ... 2.5 kJ per mole of atoms
V ... 19.97 Å³/atom
E_form ... -0.054 eV per atom
Electronic total energy ... -7.100 eV for the cell shown

(5)
NaP3Se | PBEsol | optimized geometry

Cell: 4.8083 4.8083 4.8083 Å, 90.00 90.00 90.00°
Closest atoms and distances in Å follow each position.
Positions (direct):
Na: 0.5000 0.5000 0.5000  12 P 3.40
P: 0.0000 0.5000 0.0000  2 Se 2.40
P: 0.0000 0.0000 0.5000  2 Se 2.40
P: 0.5000 0.0000 0.0000  2 Se 2.40
Se: 0.0000 0.0000 0.0000  6 P 2.40

Calculated values
Raw formation energy ... 772 meV/atom
M_tot ... 0.0 μB per cell
V ... 22.23 Å³/atom
Electronic total energy ... -18.765 eV for the cell shown

(6)
Mn3CuNi | PBEsol | optimized geometry

Cell: 4.3913 4.3913 4.3913 Å, 90.00 90.00 90.00°
Closest atoms and distances in Å follow each position.
Positions (direct):
Mn: 0.5000 0.0000 0.0000  2 Ni 2.20
Cu: 0.5000 0.5000 0.5000  12 Mn 3.11
Mn: 0.0000 0.0000 0.5000  2 Ni 2.20
Mn: 0.0000 0.5000 0.0000  2 Ni 2.20
Ni: 0.0000 0.0000 0.0000  6 Mn 2.20

Calculated values
M_tot ... 12.7 μB per cell
V ... 16.94 Å³/atom
E_form ... 1.156 eV per atom
Electronic total energy ... -33.994 eV for the cell shown